A plane-wave DFT calculation with PBE was carried out for a geometry-optimized Ho4Tl3Hg structure.

Cell lengths 4.309, 4.505, 11.510 Å; angles 90.00, 90.00, 90.00 degrees
Atoms (fractional coordinates):
Hg1 0.500 0.500 0.093
Tl1 0.000 0.500 0.592
Ho1 0.500 0.500 0.359
Ho2 0.000 0.000 0.135
Ho3 0.500 0.000 0.638
Tl2 0.000 0.000 0.408
Tl3 0.500 0.000 0.909
Ho4 0.000 0.500 0.866

Values from the calculation:
space-group type = No. 25
DOS(E_F) = 0.76 states/eV per atom
E_tot = -3.54 eV/atom
E above lowest polymorph = 45 meV per atom
energy relative to the elements = -0.323 eV per atom
calculated density = 10951 kg/m³

=====

A plane-wave DFT calculation with PBE was carried out for a geometry-optimized HoTl2Hg structure.

Cell lengths 4.007, 4.007, 6.798 Å; angles 90.00, 90.00, 90.00 degrees
Atoms (fractional coordinates):
Tl1 0.000 0.000 0.746
Hg1 0.500 0.500 0.500
Tl2 0.000 0.000 0.254
Ho1 0.500 0.500 0.000

Values from the calculation:
space-group type = No. 123
DOS(E_F) = 0.78 states/eV per atom
E_tot = -2.50 eV/atom
energy relative to the elements = -0.092 eV per atom
calculated density = 11778 kg/m³

=====

A plane-wave DFT calculation with PBE was carried out for a geometry-optimized Ho5Tl2Hg structure.

Cell lengths 8.421, 8.421, 8.698 Å; angles 118.95, 118.95, 90.00 degrees
Atoms (fractional coordinates):
Ho1 0.805 0.003 0.308
Hg1 0.250 0.250 0.500
Ho2 0.997 0.497 0.692
Tl1 0.649 0.149 0.000
Ho3 0.503 0.305 0.308
Ho4 0.500 0.500 0.000
Ho5 0.195 0.997 0.692
Tl2 0.351 0.851 0.000
Ho6 0.003 0.503 0.308
Hg2 0.750 0.750 0.500
Ho7 0.497 0.695 0.692
Ho8 0.000 0.000 0.000
Tl3 0.851 0.649 0.000
Ho9 0.305 0.805 0.308
Ho10 0.695 0.195 0.692
Tl4 0.149 0.351 0.000

Values from the calculation:
space-group type = No. 140
DOS(E_F) = 0.99 states/eV per atom
E_tot = -3.76 eV/atom
energy relative to the elements = -0.275 eV per atom
calculated density = 10593 kg/m³

=====

A plane-wave DFT calculation with PBE was carried out for a geometry-optimized Ho2Tl3Hg structure.

Cell lengths 6.601, 6.613, 8.860 Å; angles 111.91, 111.87, 90.00 degrees
Atoms (fractional coordinates):
Tl1 0.500 0.250 0.000
Tl2 0.904 0.149 0.298
Tl3 0.500 0.750 0.000
Ho1 0.903 0.648 0.295
Ho2 0.608 0.852 0.705
Ho3 0.097 0.352 0.705
Tl4 0.394 0.649 0.298
Hg1 0.000 0.750 0.000
Tl5 0.606 0.351 0.702
Hg2 0.000 0.250 0.000
Tl6 0.096 0.851 0.702
Ho4 0.392 0.148 0.295

Values from the calculation:
space-group type = No. 72
DOS(E_F) = 0.46 states/eV per atom
E_tot = -2.94 eV/atom
energy relative to the elements = -0.181 eV per atom
calculated density = 11557 kg/m³

=====

A plane-wave DFT calculation with PBE was carried out for a geometry-optimized Ho4Tl2Hg structure.

Cell lengths 5.234, 5.234, 9.057 Å; angles 73.20, 73.20, 60.00 degrees
Atoms (fractional coordinates):
Hg1 0.000 0.000 0.000
Ho1 0.377 0.377 0.868
Ho2 0.126 0.126 0.622
Tl1 0.247 0.247 0.258
Tl2 0.753 0.753 0.742
Ho3 0.874 0.874 0.378
Ho4 0.623 0.623 0.132

Values from the calculation:
space-group type = No. 166
DOS(E_F) = 0.99 states/eV per atom
E_tot = -3.58 eV/atom
E above lowest polymorph = 0 meV per atom
energy relative to the elements = -0.246 eV per atom
calculated density = 10402 kg/m³

=====

A plane-wave DFT calculation with PBE was carried out for a geometry-optimized Ho4TlHg5 structure.

Cell lengths 3.756, 3.756, 18.196 Å; angles 90.00, 90.00, 90.00 degrees
Atoms (fractional coordinates):
Hg1 0.500 0.500 0.500
Tl1 0.000 0.000 0.000
Hg2 0.500 0.500 0.697
Hg3 0.500 0.500 0.893
Hg4 0.500 0.500 0.107
Ho1 0.000 0.000 0.600
Ho2 0.000 0.000 0.400
Ho3 0.000 0.000 0.198
Hg5 0.500 0.500 0.303
Ho4 0.000 0.000 0.802

Values from the calculation:
space-group type = No. 123
DOS(E_F) = 0.68 states/eV per atom
E_tot = -2.61 eV/atom
energy relative to the elements = -0.391 eV per atom
calculated density = 12078 kg/m³

=====

> Among the records above, which one has the highest E_tot?

HoTl2Hg

=====

> Which of these has the lowest DOS(E_F)?

Ho2Tl3Hg

=====

> The lowest energy relative to the elements belongs to which entry?

Ho4TlHg5